# YReW2

A geometry-optimized YReW2 structure (GGA-PBEsol, Alexandria).

The structure in extended XYZ format:
```
4
Lattice="-2.031 -1.547 -1.895 3.561 -1.839 -2.316 -0.734 -1.966 5.059" Properties=species:S:1:pos:R:3 pbc="T T T"
W 0.782 -3.642 -0.533
W 0.015 -1.710 1.380
Y 1.781 -0.919 -1.158
Re -1.016 -0.774 -0.948
```

Properties
Symmetry: No. 71
Offset from the most stable computed form: 0.000 eV/atom
Calculated formation energy: 0.330 eV per atom